## CaScPt (PBE-GGA)

Data for a relaxed structure of CaScPt.

Results
formation energy from the elements = -634 meV/atom

a = 4.0273 Å, b = 4.0273 Å, c = 6.0422 Å
α = 90.00°, β = 90.00°, γ = 120.00°
With the nearest neighbours (Å) after each atom.
Fractional coordinates of all 3 atoms:
Ca 0.0000 0.0000 0.0000  3 Pt 2.92
Sc 0.6667 0.3333 0.4864  3 Pt 2.60
Pt 0.3333 0.6667 0.2934  3 Sc 2.60

---

## YFeRe2 (PBE-GGA)

Data for a relaxed structure of YFeRe2.

Results
formation energy from the elements = 632 meV/atom

a = 5.2919 Å, b = 9.1996 Å, c = 2.7689 Å
α = 90.00°, β = 90.00°, γ = 90.00°
With the nearest neighbours (Å) after each atom.
Fractional coordinates of all 8 atoms:
Y 0.0000 0.0000 0.0000  2 Fe 2.65, 2 Y 2.77
Y 0.5000 0.5000 0.0000  2 Fe 2.65, 2 Y 2.77
Fe 0.0000 0.5000 0.0000  2 Y 2.65, 2 Fe 2.77
Fe 0.5000 0.0000 0.0000  2 Y 2.65, 2 Fe 2.77
Re 0.2500 0.2500 0.5000  4 Re 2.65-2.77
Re 0.2500 0.7500 0.5000  4 Re 2.65-2.77
Re 0.7500 0.2500 0.5000  4 Re 2.65-2.77
Re 0.7500 0.7500 0.5000  4 Re 2.65-2.77

---

## ScTl2Pd8 (PBE-GGA)

Data for a relaxed structure of ScTl2Pd8.

Results
formation energy from the elements = -381 meV/atom

a = 7.6007 Å, b = 7.6007 Å, c = 6.4812 Å
α = 106.69°, β = 106.69°, γ = 31.64°
With the nearest neighbours (Å) after each atom.
Fractional coordinates of all 11 atoms:
Sc 0.0000 0.0000 0.0000  12 Pd 2.78-2.89
Tl 0.2802 0.2802 0.3427  10 Pd 2.75-3.08
Tl 0.7198 0.7198 0.6573  10 Pd 2.75-3.08
Pd 0.0892 0.0892 0.4512  8 Pd 2.80-2.97, 1 Sc 2.82, 3 Tl 2.86-3.08
Pd 0.1751 0.1751 0.9122  3 Tl 2.75-2.85, 1 Sc 2.78, 8 Pd 2.87-3.02
Pd 0.3656 0.3656 0.8205  7 Pd 2.77-3.02, 2 Sc 2.85, 3 Tl 2.93-2.97
Pd 0.4615 0.4615 0.2741  9 Pd 2.77-2.97, 1 Tl 2.82, 2 Sc 2.89
Pd 0.5385 0.5385 0.7259  9 Pd 2.77-2.97, 1 Tl 2.82, 2 Sc 2.89
Pd 0.6344 0.6344 0.1795  7 Pd 2.77-3.02, 2 Sc 2.85, 3 Tl 2.93-2.97
Pd 0.8249 0.8249 0.0878  3 Tl 2.75-2.85, 1 Sc 2.78, 8 Pd 2.87-3.02
Pd 0.9108 0.9108 0.5488  8 Pd 2.80-2.97, 1 Sc 2.82, 3 Tl 2.86-3.08

---

## LaSnC2O (PBE-GGA)

Data for a relaxed structure of LaSnC2O.

Results
raw formation energy = 0.42 eV/atom

a = 4.2201 Å, b = 4.2201 Å, c = 4.3164 Å
α = 90.00°, β = 90.00°, γ = 90.00°
With the nearest neighbours (Å) after each atom.
Fractional coordinates of all 5 atoms:
La 0.0000 0.0000 0.0000  4 O 2.98, 8 C 3.02
Sn 0.5000 0.5000 0.5000  4 C 2.11, 2 O 2.16
C 0.0000 0.5000 0.5000  2 Sn 2.11
C 0.5000 0.0000 0.5000  2 Sn 2.11
O 0.5000 0.5000 0.0000  2 Sn 2.16

---

## CaTaFeSn2 (PBE-GGA)

Data for a relaxed structure of CaTaFeSn2.

Results
formation energy from the elements = 1821 meV/atom

a = 5.2435 Å, b = 5.2435 Å, c = 4.0789 Å
α = 90.00°, β = 90.00°, γ = 90.00°
With the nearest neighbours (Å) after each atom.
Fractional coordinates of all 5 atoms:
Ca 0.0000 0.0000 0.0000  2 Fe 2.04
Ta 0.5000 0.5000 0.5000  8 Sn 3.32, 4 Fe 3.71
Fe 0.0000 0.0000 0.5000  2 Ca 2.04
Sn 0.0000 0.5000 0.0000  2 Ca 2.62
Sn 0.5000 0.0000 0.0000  2 Ca 2.62

---

## NbNiRuPt (PBE-GGA)

Data for a relaxed structure of NbNiRuPt.

Results
formation energy from the elements = -407 meV/atom

a = 3.7728 Å, b = 3.8197 Å, c = 4.0243 Å
α = 90.00°, β = 90.00°, γ = 90.00°
With the nearest neighbours (Å) after each atom.
Fractional coordinates of all 4 atoms:
Nb 0.0000 0.0000 0.0000  4 Ru 2.68, 4 Pt 2.76, 4 Ni 2.77
Ni 0.0000 0.5000 0.5000  4 Pt 2.68, 4 Ru 2.76, 4 Nb 2.77
Ru 0.5000 0.5000 0.0000  4 Nb 2.68, 4 Ni 2.76, 4 Pt 2.77
Pt 0.5000 0.0000 0.5000  4 Ni 2.68, 4 Nb 2.76, 4 Ru 2.77

---

## Pm3Tl2Au (PBE-GGA)

Data for a relaxed structure of Pm3Tl2Au.

Results
formation energy from the elements = -428 meV/atom

a = 8.5720 Å, b = 8.5720 Å, c = 6.6845 Å
α = 102.18°, β = 102.18°, γ = 44.66°
With the nearest neighbours (Å) after each atom.
Fractional coordinates of all 12 atoms:
Pm 0.1323 0.8677 0.7500  2 Au 3.23-3.29, 4 Tl 3.23-3.35, 2 Pm 3.44
Pm 0.2381 0.4434 0.4134  1 Au 2.98, 3 Tl 3.21-3.32
Pm 0.4434 0.2381 0.9134  1 Au 2.98, 3 Tl 3.21-3.32
Pm 0.5566 0.7619 0.0866  1 Au 2.98, 3 Tl 3.21-3.32
Pm 0.7619 0.5566 0.5866  1 Au 2.98, 3 Tl 3.21-3.32
Pm 0.8677 0.1323 0.2500  2 Au 3.23-3.29, 4 Tl 3.23-3.35, 2 Pm 3.44
Tl 0.0578 0.2783 0.0537  6 Pm 3.21-3.39, 1 Tl 3.38, 1 Au 3.39
Tl 0.2783 0.0578 0.5537  6 Pm 3.21-3.39, 1 Tl 3.38, 1 Au 3.39
Tl 0.7217 0.9422 0.4463  6 Pm 3.21-3.39, 1 Tl 3.38, 1 Au 3.39
Tl 0.9422 0.7217 0.9463  6 Pm 3.21-3.39, 1 Tl 3.38, 1 Au 3.39
Au 0.3631 0.6369 0.2500  4 Pm 2.98-3.29
Au 0.6369 0.3631 0.7500  4 Pm 2.98-3.29

---

| no. | spin magnetization (μB/f.u.) |
| --- | --- |
| 1 | 0.00 |
| 2 | 2.21 |
| 3 | 0.00 |
| 4 | 0.23 |
| 5 | 0.00 |
| 6 | 0.00 |
| 7 | 0.00 |